# 1
Li4Hg3Pd: optimized geometry, PBE.

Output
energy relative to the lowest polymorph listed for this composition = 0.92 eV per formula unit
ΔE_f = -2.19 eV/f.u.
total magnetization = 0.0 μB per formula unit

Lattice parameters (Å, degrees): 11.5408 11.5408 3.1366 97.53 97.53 22.01
Closest atoms and distances in Å follow each position.
Atoms (fractional coordinates):
Li 0.0936 0.0936 0.0902  2 Pd 2.62, 1 Li 2.73
Li 0.2150 0.2150 0.2172  1 Li 2.73, 5 Hg 2.80-2.97
Li 0.7850 0.7850 0.7828  1 Li 2.73, 5 Hg 2.80-2.97
Li 0.9064 0.9064 0.9098  2 Pd 2.62, 1 Li 2.73
Hg 0.3397 0.3397 0.3384  9 Li 2.80-3.10
Hg 0.5000 0.5000 0.0000  4 Pd 2.70
Hg 0.6603 0.6603 0.6616  9 Li 2.80-3.10
Pd 0.0000 0.0000 0.5000  4 Li 2.62, 4 Hg 2.70



# 2
Li4Hg3Pd2: optimized geometry, PBE.

Output
energy relative to the lowest polymorph listed for this composition = 0.00 eV per formula unit
ΔE_f = -3.43 eV/f.u.
total magnetization = 0.0 μB per formula unit

Lattice parameters (Å, degrees): 4.9251 4.9251 8.5950 105.30 105.30 48.91
Closest atoms and distances in Å follow each position.
Atoms (fractional coordinates):
Li 0.0086 0.0086 0.3297  6 Hg 2.78-2.99, 3 Pd 2.83-2.94, 3 Li 2.93-2.98
Li 0.3331 0.3331 0.1068  4 Hg 2.73-2.86, 4 Pd 2.75-2.86, 4 Li 2.86-2.93
Li 0.6669 0.6669 0.8932  4 Hg 2.73-2.86, 4 Pd 2.75-2.86, 4 Li 2.86-2.93
Li 0.9914 0.9914 0.6703  6 Hg 2.78-2.99, 3 Pd 2.83-2.94, 3 Li 2.93-2.98
Hg 0.0000 0.0000 0.0000  8 Li 2.81-2.86, 4 Pd 2.85
Hg 0.3328 0.3328 0.4239  6 Li 2.73-2.99, 2 Pd 2.85, 3 Hg 2.90-3.03
Hg 0.6672 0.6672 0.5761  6 Li 2.73-2.99, 2 Pd 2.85, 3 Hg 2.90-3.03
Pd 0.3342 0.3342 0.7878  7 Li 2.75-2.94, 4 Hg 2.85
Pd 0.6658 0.6658 0.2122  7 Li 2.75-2.94, 4 Hg 2.85



# 3
Li10HgPd6: optimized geometry, PBE.

Output
ΔE_f = -5.83 eV/f.u.
total magnetization = 0.0 μB per formula unit

Lattice parameters (Å, degrees): 7.5415 7.5415 5.2152 90.00 90.00 120.00
Closest atoms and distances in Å follow each position.
Atoms (fractional coordinates):
Li 0.0000 0.3013 0.3253  5 Pd 2.63-2.70, 4 Li 2.80-2.91, 1 Hg 2.84
Li 0.0000 0.6987 0.6747  5 Pd 2.63-2.70, 4 Li 2.80-2.91, 1 Hg 2.84
Li 0.3013 0.0000 0.3253  5 Pd 2.63-2.70, 4 Li 2.80-2.91, 1 Hg 2.84
Li 0.3013 0.3013 0.6747  5 Pd 2.63-2.70, 4 Li 2.80-2.91, 1 Hg 2.84
Li 0.3333 0.6667 0.0000  6 Pd 2.59, 2 Li 2.61
Li 0.3333 0.6667 0.5000  8 Li 2.61-2.80
Li 0.6667 0.3333 0.0000  6 Pd 2.59, 2 Li 2.61
Li 0.6667 0.3333 0.5000  8 Li 2.61-2.80
Li 0.6987 0.0000 0.6747  5 Pd 2.63-2.70, 4 Li 2.80-2.91, 1 Hg 2.84
Li 0.6987 0.6987 0.3253  5 Pd 2.63-2.70, 4 Li 2.80-2.91, 1 Hg 2.84
Hg 0.0000 0.0000 0.0000  6 Li 2.84, 6 Pd 2.84
Pd 0.0000 0.3569 0.8267  7 Li 2.59-2.70, 1 Pd 2.81, 1 Hg 2.84
Pd 0.0000 0.6431 0.1733  7 Li 2.59-2.70, 1 Pd 2.81, 1 Hg 2.84
Pd 0.3569 0.0000 0.8267  7 Li 2.59-2.70, 1 Pd 2.81, 1 Hg 2.84
Pd 0.3569 0.3569 0.1733  7 Li 2.59-2.70, 1 Pd 2.81, 1 Hg 2.84
Pd 0.6431 0.0000 0.1733  7 Li 2.59-2.70, 1 Pd 2.81, 1 Hg 2.84
Pd 0.6431 0.6431 0.8267  7 Li 2.59-2.70, 1 Pd 2.81, 1 Hg 2.84



# 4
Li8Hg2Pd: optimized geometry, PBE.

Output
energy relative to the lowest polymorph listed for this composition = 0.00 eV per formula unit
ΔE_f = -3.05 eV/f.u.
total magnetization = 0.0 μB per formula unit

Lattice parameters (Å, degrees): 7.4350 7.4350 6.5312 107.13 107.13 32.48
Closest atoms and distances in Å follow each position.
Atoms (fractional coordinates):
Li 0.0356 0.0356 0.2483  6 Li 2.70-2.81, 2 Pd 2.79, 1 Hg 2.79
Li 0.1404 0.1404 0.6783  7 Li 2.70-2.92, 2 Pd 2.87, 3 Hg 2.90-2.97
Li 0.3295 0.3295 0.5935  1 Pd 2.69, 6 Li 2.81-2.95, 3 Hg 2.82-2.83
Li 0.4035 0.4035 0.0682  1 Pd 2.73, 3 Hg 2.79-2.93, 5 Li 2.81-2.95
Li 0.5965 0.5965 0.9318  1 Pd 2.73, 3 Hg 2.79-2.93, 5 Li 2.81-2.95
Li 0.6705 0.6705 0.4065  1 Pd 2.69, 6 Li 2.81-2.95, 3 Hg 2.82-2.83
Li 0.8596 0.8596 0.3217  7 Li 2.70-2.92, 2 Pd 2.87, 3 Hg 2.90-2.97
Li 0.9644 0.9644 0.7517  6 Li 2.70-2.81, 2 Pd 2.79, 1 Hg 2.79
Hg 0.2143 0.2143 0.1565  10 Li 2.79-2.97
Hg 0.7857 0.7857 0.8435  10 Li 2.79-2.97
Pd 0.5000 0.5000 0.5000  12 Li 2.69-2.87



# 5
LiHg2Pd: optimized geometry, PBE.

Output
energy relative to the lowest polymorph listed for this composition = 0.11 eV per formula unit
ΔE_f = -1.14 eV/f.u.
total magnetization = 0.0 μB per formula unit

Lattice parameters (Å, degrees): 3.4620 3.4620 6.0472 90.00 90.00 90.00
Closest atoms and distances in Å follow each position.
Atoms (fractional coordinates):
Li 0.0000 0.0000 0.0000  8 Hg 2.87, 2 Pd 3.02
Hg 0.5000 0.5000 0.2463  4 Li 2.87, 4 Pd 2.89, 2 Hg 2.98-3.07
Hg 0.5000 0.5000 0.7537  4 Li 2.87, 4 Pd 2.89, 2 Hg 2.98-3.07
Pd 0.0000 0.0000 0.5000  8 Hg 2.89, 2 Li 3.02



# 6
Li5Hg2Pd3: optimized geometry, PBE.

Output
ΔE_f = -2.54 eV/f.u.
total magnetization = 0.0 μB per formula unit

Lattice parameters (Å, degrees): 8.5252 8.5252 8.5252 110.37 81.20 143.60
Closest atoms and distances in Å follow each position.
Atoms (fractional coordinates):
Li 0.1618 0.5834 0.7452  3 Pd 2.55-2.61
Li 0.2500 0.2500 0.0000  4 Li 2.52-2.66
Li 0.2500 0.5091 0.2591  3 Pd 2.35-2.54, 1 Li 2.52
Li 0.2500 0.9909 0.7409  3 Pd 2.35-2.54, 1 Li 2.52
Li 0.3382 0.0834 0.4216  3 Pd 2.55-2.61
Li 0.6618 0.9166 0.5784  3 Pd 2.55-2.61
Li 0.7500 0.0091 0.2591  3 Pd 2.35-2.54, 1 Li 2.52
Li 0.7500 0.4909 0.7409  3 Pd 2.35-2.54, 1 Li 2.52
Li 0.7500 0.7500 0.0000  4 Li 2.52-2.66
Li 0.8382 0.4166 0.2548  3 Pd 2.55-2.61
Hg 0.1731 0.8854 0.0585  4 Pd 2.78-3.00, 6 Li 2.83-2.96
Hg 0.3269 0.3854 0.7123  4 Pd 2.78-3.00, 6 Li 2.83-2.96
Hg 0.6731 0.6146 0.2877  4 Pd 2.78-3.00, 6 Li 2.83-2.96
Hg 0.8269 0.1146 0.9415  4 Pd 2.78-3.00, 6 Li 2.83-2.96
Pd 0.1592 0.1930 0.3522  3 Li 2.54-2.55, 2 Hg 2.78
Pd 0.2500 0.7500 0.5000  6 Li 2.35-2.61
Pd 0.3408 0.6930 0.0338  3 Li 2.54-2.55, 2 Hg 2.78
Pd 0.6592 0.3070 0.9662  3 Li 2.54-2.55, 2 Hg 2.78
Pd 0.7500 0.2500 0.5000  6 Li 2.35-2.61
Pd 0.8408 0.8070 0.6478  3 Li 2.54-2.55, 2 Hg 2.78



# 7
Li7Hg3Pd2: optimized geometry, PBE.

Output
ΔE_f = -3.28 eV/f.u.
total magnetization = 0.0 μB per formula unit

Lattice parameters (Å, degrees): 4.5667 3.0042 15.1906 90.00 98.12 90.00
Closest atoms and distances in Å follow each position.
Atoms (fractional coordinates):
Li 0.0000 0.0000 0.0000  4 Hg 2.73, 2 Li 3.00
Li 0.1078 0.5000 0.2026  2 Pd 2.63, 4 Li 2.84-2.85
Li 0.2711 0.5000 0.5457  1 Pd 2.48, 2 Li 2.66-2.67
Li 0.4179 0.0000 0.8500  2 Pd 2.58, 2 Hg 2.71, 4 Li 2.84-2.85
Li 0.5821 0.0000 0.1500  2 Pd 2.58, 2 Hg 2.71, 4 Li 2.84-2.85
Li 0.7289 0.5000 0.4543  1 Pd 2.48, 2 Li 2.66-2.67
Li 0.8922 0.5000 0.7974  2 Pd 2.63, 4 Li 2.84-2.85
Hg 0.1883 0.0000 0.3713  8 Li 2.95-3.02, 4 Pd 2.99-3.00, 2 Hg 3.00
Hg 0.5000 0.5000 0.0000  8 Li 2.71-2.73, 2 Hg 3.00
Hg 0.8117 0.0000 0.6287  8 Li 2.95-3.02, 4 Pd 2.99-3.00, 2 Hg 3.00
Pd 0.3510 0.5000 0.7105  5 Li 2.48-2.63
Pd 0.6490 0.5000 0.2895  5 Li 2.48-2.63



# 8
LiHg2Pd6: optimized geometry, PBE.

Output
energy relative to the lowest polymorph listed for this composition = 1.29 eV per formula unit
ΔE_f = -0.48 eV/f.u.
total magnetization = 0.0 μB per formula unit

Lattice parameters (Å, degrees): 5.7255 5.7255 5.2222 90.10 90.10 59.84
Closest atoms and distances in Å follow each position.
Atoms (fractional coordinates):
Li 0.0000 0.0000 0.0000  6 Pd 2.32
Hg 0.3339 0.3339 0.8073  12 Pd 2.91-3.10
Hg 0.6661 0.6661 0.1927  12 Pd 2.91-3.10
Pd 0.1734 0.6520 0.2965  1 Li 2.32
Pd 0.1743 0.1743 0.2952  1 Li 2.32
Pd 0.3480 0.8266 0.7035  1 Li 2.32
Pd 0.6520 0.1734 0.2965  1 Li 2.32
Pd 0.8257 0.8257 0.7048  1 Li 2.32
Pd 0.8266 0.3480 0.7035  1 Li 2.32



# 9
LiHg2Pd2: optimized geometry, PBE.

Output
energy relative to the lowest polymorph listed for this composition = 1.47 eV per formula unit
ΔE_f = 0.05 eV/f.u.
total magnetization = 0.0 μB per formula unit

Lattice parameters (Å, degrees): 6.8077 6.8077 6.8077 143.65 143.65 52.36
Closest atoms and distances in Å follow each position.
Atoms (fractional coordinates):
Li 0.0000 0.0000 0.0000  8 Pd 3.26
Hg 0.2500 0.7500 0.5000  4 Pd 2.77, 4 Hg 3.00
Hg 0.7500 0.2500 0.5000  4 Pd 2.77, 4 Hg 3.00
Pd 0.3952 0.3952 0.0000  1 Pd 2.56, 4 Hg 2.77
Pd 0.6048 0.6048 0.0000  1 Pd 2.56, 4 Hg 2.77



# 10
Li4HgPd2: optimized geometry, PBE.

Output
energy relative to the lowest polymorph listed for this composition = 0.00 eV per formula unit
ΔE_f = -2.66 eV/f.u.
total magnetization = 0.0 μB per formula unit

Lattice parameters (Å, degrees): 3.9319 4.8744 6.3116 83.79 89.85 66.25
Closest atoms and distances in Å follow each position.
Atoms (fractional coordinates):
Li 0.0723 0.3541 0.1863  4 Li 2.55-2.80, 5 Pd 2.70-2.78
Li 0.2149 0.0707 0.6786  3 Pd 2.61-2.70, 3 Li 2.79-2.80, 3 Hg 2.88-2.90
Li 0.7851 0.9293 0.3214  3 Pd 2.61-2.70, 3 Li 2.79-2.80, 3 Hg 2.88-2.90
Li 0.9277 0.6459 0.8137  4 Li 2.55-2.80, 5 Pd 2.70-2.78
Hg 0.5000 0.5000 0.5000  2 Pd 2.80, 10 Li 2.88-2.92
Pd 0.3581 0.7845 0.0804  8 Li 2.61-2.78, 1 Hg 2.80, 3 Pd 2.84-2.86
Pd 0.6419 0.2155 0.9196  8 Li 2.61-2.78, 1 Hg 2.80, 3 Pd 2.84-2.86



# 11
Li2HgPd: optimized geometry, PBE.

Output
ΔE_f = -0.87 eV/f.u.
total magnetization = 0.0 μB per formula unit

Lattice parameters (Å, degrees): 9.6305 9.6305 9.6305 156.48 156.48 33.50
Closest atoms and distances in Å follow each position.
Atoms (fractional coordinates):
Li 0.1073 0.6250 0.9823  2 Pd 2.67, 4 Li 2.68-2.88, 2 Hg 2.72
Li 0.3750 0.3573 0.4823  2 Pd 2.67, 4 Li 2.68-2.88, 2 Hg 2.72
Li 0.6427 0.1250 0.0177  2 Pd 2.67, 4 Li 2.68-2.88, 2 Hg 2.72
Li 0.8750 0.8927 0.5177  2 Pd 2.67, 4 Li 2.68-2.88, 2 Hg 2.72
Hg 0.2500 0.7500 0.5000  4 Li 2.72, 4 Pd 2.78
Hg 0.5000 0.5000 0.0000  4 Li 2.72, 4 Pd 2.78
Pd 0.0000 0.0000 0.0000  4 Li 2.67, 4 Hg 2.78
Pd 0.7500 0.2500 0.5000  4 Li 2.67, 4 Hg 2.78